1.
Density functional theory data (PBE-GGA) for a relaxed structure of Pm2ZrTl.

Values from the calculation:
Crystal system: tetragonal
Size of the total moment, μB per formula unit: 0.0
D(E_F), states/eV per cell: 5.0
ΔE_f, eV/atom: -0.08
Polymorph energy (0 for the lowest one), eV per atom: 0.0040

Cell: 3.455 3.455 9.651 Å, 90.00 90.00 90.00°
Positions (direct):
Pm: 0.000 0.000 0.249
Pm: 0.000 0.000 0.751
Zr: 0.500 0.500 0.500
Tl: 0.500 0.500 0.000

***

2.
Density functional theory data (PBE-GGA) for a relaxed structure of CdAs2AuSe.

Values from the calculation:
Crystal system: tetragonal
Size of the total moment, μB per formula unit: 1.0
D(E_F), states/eV per cell: 4.8
Polymorph energy (0 for the lowest one), eV per atom: 0.0000

Cell: 5.043 5.043 5.240 Å, 90.00 90.00 90.00°
Positions (direct):
Cd: 0.000 0.000 0.000
As: 0.000 0.500 0.500
As: 0.500 0.000 0.500
Au: 0.500 0.500 0.500
Se: 0.500 0.500 0.000

***

3.
Density functional theory data (PBE-GGA) for a relaxed structure of UTlAu4.

Values from the calculation:
Crystal system: cubic
Size of the total moment, μB per formula unit: 3.0
D(E_F), states/eV per cell: 11.9
ΔE_f, eV/atom: -0.02

Cell: 5.671 5.671 5.671 Å, 60.00 60.00 60.00°
Positions (direct):
U: 0.000 0.000 0.000
Tl: 0.750 0.750 0.750
Au: 0.375 0.375 0.375
Au: 0.375 0.375 0.875
Au: 0.375 0.875 0.375
Au: 0.875 0.375 0.375

***

4.
Density functional theory data (PBE-GGA) for a relaxed structure of PmPr5Ho12.

Values from the calculation:
Crystal system: monoclinic
Size of the total moment, μB per formula unit: 0.0
D(E_F), states/eV per cell: 29.2
ΔE_f, eV/atom: 0.10

Cell: 10.391 10.391 5.962 Å, 90.01 90.01 113.10°
Positions (direct):
Pm: 0.000 0.000 0.000
Pr: 0.166 0.834 0.500
Pr: 0.334 0.666 0.000
Pr: 0.500 0.500 0.500
Pr: 0.666 0.334 0.000
Pr: 0.834 0.166 0.500
Ho: 0.011 0.344 0.052
Ho: 0.155 0.488 0.552
Ho: 0.178 0.178 0.444
Ho: 0.320 0.320 0.945
Ho: 0.344 0.011 0.052
Ho: 0.488 0.155 0.552
Ho: 0.512 0.845 0.448
Ho: 0.656 0.989 0.948
Ho: 0.680 0.680 0.055
Ho: 0.822 0.822 0.556
Ho: 0.845 0.512 0.448
Ho: 0.989 0.656 0.948

***

5.
Density functional theory data (PBE-GGA) for a relaxed structure of Na2HgS2.

Values from the calculation:
Crystal system: tetragonal
Size of the total moment, μB per formula unit: 0.0
D(E_F), states/eV per cell: 0.1
Polymorph energy (0 for the lowest one), eV per atom: 0.1830

Cell: 7.397 7.397 4.022 Å, 90.00 90.00 90.00°
Positions (direct):
Na: 0.137 0.363 0.000
Na: 0.363 0.863 0.000
Na: 0.637 0.137 0.000
Na: 0.863 0.637 0.000
Hg: 0.000 0.000 0.500
Hg: 0.500 0.500 0.500
S: 0.177 0.677 0.500
S: 0.323 0.177 0.500
S: 0.677 0.823 0.500
S: 0.823 0.323 0.500

***

6.
Density functional theory data (PBE-GGA) for a relaxed structure of ZrAlCu.

Values from the calculation:
Crystal system: monoclinic
Size of the total moment, μB per formula unit: 0.0
D(E_F), states/eV per cell: 4.8
ΔE_f, eV/atom: -0.33

Cell: 5.261 5.261 5.301 Å, 90.98 90.98 43.94°
Positions (direct):
Zr: 0.000 0.000 0.000
Zr: 0.592 0.592 0.515
Al: 0.291 0.291 0.769
Al: 0.886 0.886 0.485
Cu: 0.295 0.295 0.262
Cu: 0.703 0.703 0.020